Density functional theory data (PBE) for a relaxed structure of Mg2AgHPd6.

Calculated values
Density of states at the Fermi level ... 3.369 states/eV per cell
Theoretical density ... 9.011 g/cm3
E ... -44.228 eV/f.u.

Structure (CIF):
```
data_Mg2AgHPd6
_chemical_formula_sum 'Mg2 Ag1 H1 Pd6'
_cell_length_a 4.8919
_cell_length_b 4.9106
_cell_length_c 6.4590
_cell_angle_alpha 83.68
_cell_angle_beta 75.09
_cell_angle_gamma 78.61
_space_group_name_H-M_alt 'P 1'
_space_group_IT_number 1
_space_group_name_Hall 'P 1'
loop_
_atom_site_label
_atom_site_type_symbol
_atom_site_fract_x
_atom_site_fract_y
_atom_site_fract_z
Mg1 Mg 0.0000 0.0000 0.0000
Mg2 Mg 0.1191 0.2349 0.5095
Ag1 Ag 0.5618 0.1183 0.7540
H1 H 0.2736 0.6582 0.3875
Pd1 Pd 0.2306 0.4548 0.0797
Pd2 Pd 0.3339 0.6823 0.6519
Pd3 Pd 0.4542 0.9013 0.1943
Pd4 Pd 0.6714 0.3468 0.3052
Pd5 Pd 0.7917 0.5487 0.8625
Pd6 Pd 0.8873 0.7860 0.4256
```